Crystalline Pa2MnGaN5 at its relaxed geometry, computed with PBE.

DFT total energy, eV per atom: -9.054
Total magnetic moment, μB per cell: 2.09
Symmetry: Cmc2_1 (36)

Cell: 3.323 7.172 8.975 Å, 90.00 90.00 103.40°
Positions (direct):
Mn  0.774  0.547  0.511
Mn  0.226  0.453  0.011
N  0.495  0.989  0.253
N  0.288  0.575  0.370
N  0.919  0.838  0.506
N  0.081  0.162  0.006
N  0.629  0.259  0.493
N  0.286  0.573  0.650
N  0.712  0.425  0.870
N  0.505  0.011  0.753
N  0.714  0.427  0.150
N  0.371  0.741  0.993
Pa  0.867  0.734  0.787
Pa  0.869  0.739  0.237
Pa  0.133  0.266  0.287
Pa  0.131  0.261  0.737
Ga  0.515  0.029  0.018
Ga  0.485  0.971  0.518

Crystalline Sc2MnGaN at its relaxed geometry, computed with PBE.

DFT total energy, eV per atom: -7.497
Total magnetic moment, μB per cell: 0.66
Symmetry: P4/mmm (123)

Cell: 4.474 4.474 3.684 Å, 90.00 90.00 90.00°
Positions (direct):
Ga  0.500  0.500  0.500
N  0.000  0.000  0.000
Mn  0.000  0.000  0.500
Sc  0.500  0.000  0.000
Sc  0.000  0.500  0.000

Crystalline MnGaSe2N at its relaxed geometry, computed with PBE.

DFT total energy, eV per atom: -5.403
Total magnetic moment, μB per cell: 1.46
Symmetry: P4/mmm (123)

Cell: 5.040 5.040 3.475 Å, 90.00 90.00 90.00°
Positions (direct):
Se  0.000  0.500  0.000
Se  0.500  0.000  0.000
Ga  0.500  0.500  0.500
Mn  0.000  0.000  0.000
N  0.000  0.000  0.500

Crystalline MnGaSe2N at its relaxed geometry, computed with PBE.

DFT total energy, eV per atom: -4.840
Total magnetic moment, μB per cell: 6.16
Symmetry: P4/mmm (123)

Cell: 5.177 5.177 3.666 Å, 90.00 90.00 90.00°
Positions (direct):
Mn  0.500  0.500  0.500
Ga  0.000  0.000  0.000
Se  0.500  0.000  0.000
Se  0.000  0.500  0.000
N  0.000  0.000  0.500

Crystalline Sr2MnGaN at its relaxed geometry, computed with PBE.

DFT total energy, eV per atom: -5.135
Total magnetic moment, μB per cell: 3.16
Symmetry: P4/mmm (123)

Cell: 5.504 5.504 3.776 Å, 90.00 90.00 90.00°
Positions (direct):
N  0.000  0.000  0.000
Ga  0.500  0.500  0.500
Mn  0.000  0.000  0.500
Sr  0.500  0.000  0.000
Sr  0.000  0.500  0.000

Crystalline MnGaTc2N at its relaxed geometry, computed with PBE.

DFT total energy, eV per atom: -8.411
Total magnetic moment, μB per cell: 2.06
Symmetry: P4/mmm (123)

Cell: 4.075 4.075 3.805 Å, 90.00 90.00 90.00°
Positions (direct):
Ga  0.500  0.500  0.500
Tc  0.500  0.000  0.000
Tc  0.000  0.500  0.000
N  0.000  0.000  0.000
Mn  0.000  0.000  0.500

Crystalline Mn2GaTcN at its relaxed geometry, computed with PBE.

DFT total energy, eV per atom: -8.243
Total magnetic moment, μB per cell: 2.90
Symmetry: P4/mmm (123)

Cell: 3.797 3.797 4.078 Å, 90.00 90.00 90.00°
Positions (direct):
Ga  0.500  0.500  0.500
Mn  0.000  0.500  0.000
Mn  0.500  0.000  0.000
N  0.000  0.000  0.000
Tc  0.000  0.000  0.500

Crystalline MnGaTeN2 at its relaxed geometry, computed with PBE.

DFT total energy, eV per atom: -4.720
Total magnetic moment, μB per cell: 0.24
Symmetry: P4/mmm (123)

Cell: 3.827 3.827 5.765 Å, 90.00 90.00 90.00°
Positions (direct):
N  0.000  0.500  0.000
N  0.500  0.000  0.000
Mn  0.500  0.500  0.500
Ga  0.000  0.000  0.000
Te  0.000  0.000  0.500

Crystalline MnGaTeN2 at its relaxed geometry, computed with PBE.

DFT total energy, eV per atom: -5.724
Total magnetic moment, μB per cell: 0.00
Symmetry: P4/mmm (123)

Cell: 3.780 3.780 5.900 Å, 90.00 90.00 90.00°
Positions (direct):
Ga  0.500  0.500  0.500
N  0.000  0.500  0.000
N  0.500  0.000  0.000
Te  0.000  0.000  0.500
Mn  0.000  0.000  0.000

Crystalline Ti2MnGaN at its relaxed geometry, computed with PBE.

DFT total energy, eV per atom: -8.027
Total magnetic moment, μB per cell: 1.71
Symmetry: P4/mmm (123)

Cell: 4.148 4.148 3.808 Å, 90.00 90.00 90.00°
Positions (direct):
Ga  0.500  0.500  0.500
Ti  0.000  0.500  0.000
Ti  0.500  0.000  0.000
Mn  0.000  0.000  0.500
N  0.000  0.000  0.000

Crystalline MnV2GaN at its relaxed geometry, computed with PBE.

DFT total energy, eV per atom: -8.245
Total magnetic moment, μB per cell: 1.49
Symmetry: P4/mmm (123)

Cell: 3.937 3.937 3.857 Å, 90.00 90.00 90.00°
Positions (direct):
V  0.500  0.000  0.000
V  0.000  0.500  0.000
N  0.000  0.000  0.000
Mn  0.000  0.000  0.500
Ga  0.500  0.500  0.500

Crystalline Zr2MnGaN at its relaxed geometry, computed with PBE.

DFT total energy, eV per atom: -8.267
Total magnetic moment, μB per cell: 2.33
Symmetry: P4/mmm (123)

Cell: 4.521 4.521 3.834 Å, 90.00 90.00 90.00°
Positions (direct):
Zr  0.500  0.000  0.000
Zr  0.000  0.500  0.000
Mn  0.000  0.000  0.500
Ga  0.500  0.500  0.500
N  0.000  0.000  0.000